Entry from the Alexandria database: crystalline AcEuNiAg at its relaxed geometry (PBE-GGA).

```
AcEuNiAg
1.0
-2.421 2.403 -4.072
-4.238 -2.254 -2.275
-4.819 2.134 0.661
Eu Ac Ni Ag
1 1 1 1
Cartesian
-8.609 1.712 -4.265
-2.870 0.571 -1.422
-5.739 1.141 -2.843
0.000 0.000 0.000
```

- E (eV/f.u.) = -23.6
- spin magnetization (μB per atom) = 1.79
- energy of formation from the pure elements (eV/atom) = -0.142

Entry from the Alexandria database: crystalline AcEuAgP at its relaxed geometry (PBE-GGA).

```
AcEuAgP
1.0
-1.597 1.988 -4.700
1.403 -2.435 -4.549
-3.677 -2.593 -2.889
Ag P Eu Ac
1 1 1 1
Cartesian
-0.968 -0.760 -3.034
-2.903 -2.280 -9.103
0.000 0.000 0.000
-1.935 -1.520 -6.069
```

- E (eV/f.u.) = -25.1
- spin magnetization (μB per atom) = 1.91
- energy of formation from the pure elements (eV/atom) = -0.608

Entry from the Alexandria database: crystalline AcEuAgPb at its relaxed geometry (PBE-GGA).

```
AcEuAgPb
1.0
-5.478 -0.110 1.425
-2.407 -4.861 1.620
-1.504 -0.750 5.406
Ag Eu Pb Ac
1 1 1 1
Cartesian
-2.347 -1.430 2.113
0.000 0.000 0.000
-7.042 -4.291 6.338
-4.694 -2.861 4.225
```

- E (eV/f.u.) = -22.8
- spin magnetization (μB per atom) = 1.80
- energy of formation from the pure elements (eV/atom) = -0.455

Entry from the Alexandria database: crystalline AcEuAgPd at its relaxed geometry (PBE-GGA).

```
AcEuAgPd
1.0
5.377 0.000 0.000
2.689 4.657 0.000
2.689 1.552 4.391
Ac Ag Eu Pd
1 1 1 1
Cartesian
0.000 0.000 0.000
2.689 1.552 1.098
5.377 3.105 2.195
8.066 4.657 3.293
```

- E (eV/f.u.) = -24.3
- spin magnetization (μB per atom) = 1.80
- energy of formation from the pure elements (eV/atom) = -0.472

Entry from the Alexandria database: crystalline AcEuAgRu at its relaxed geometry (PBE-GGA).

```
AcEuAgRu
1.0
-1.048 1.604 4.896
-4.395 -1.594 2.404
0.277 -3.404 3.997
Eu Ag Ru Ac
1 1 1 1
Cartesian
-2.583 -1.697 5.649
-3.875 -2.545 8.473
-1.292 -0.848 2.824
0.000 0.000 0.000
```

- E (eV/f.u.) = -26.7
- spin magnetization (μB per atom) = 1.70
- energy of formation from the pure elements (eV/atom) = -0.041

Entry from the Alexandria database: crystalline AcTbEuAg at its relaxed geometry (PBE-GGA).

```
AcTbEuAg
1.0
-0.420 3.707 4.241
-1.887 -1.687 5.049
3.550 -0.308 4.383
Tb Ac Eu Ag
1 1 1 1
Cartesian
0.000 0.000 0.000
0.311 0.428 3.418
0.622 0.856 6.836
0.932 1.284 10.255
```

- E (eV/f.u.) = -21.1
- spin magnetization (μB per atom) = 2.06
- energy of formation from the pure elements (eV/atom) = 0.179

Entry from the Alexandria database: crystalline AcEuAgTe at its relaxed geometry (PBE-GGA).

```
AcEuAgTe
1.0
5.627 0.000 0.000
2.813 4.873 0.000
2.813 1.624 4.594
Eu Ag Te Ac
1 1 1 1
Cartesian
5.627 3.249 2.297
8.440 4.873 3.446
2.813 1.624 1.149
0.000 0.000 0.000
```

- E (eV/f.u.) = -23.2
- spin magnetization (μB per atom) = 2.18

Entry from the Alexandria database: crystalline Ac4Ag2F at its relaxed geometry (PBE-GGA).

```
Ac4Ag2F
1.0
5.297 0.000 0.000
0.000 5.297 0.000
-2.648 -2.648 8.199
Ac F Ag
4 1 2
Cartesian
2.648 2.648 5.042
0.000 2.648 0.000
0.000 0.000 3.157
2.648 0.000 0.000
0.000 0.000 0.000
2.648 2.648 1.994
0.000 0.000 6.205
```

- E (eV/f.u.) = -29.1
- spin magnetization (μB per atom) = 0.00

- The highest spin magnetization belongs to which entry?
  AcEuAgTe